VCrAsSe2 | Alexandria via LeMat-Bulk | PBE-GGA | optimized geometry; crystal system = tetragonal; formation energy from raw total energies = 304 meV/atom; N(E_F) = 3.35 states/eV/cell; space group = No. 123
1.0
4.820 0.000 0.000
0.000 4.820 0.000
0.000 0.000 4.775
V Cr As Se
1 1 1 2
Direct
0.000 0.000 0.000
0.500 0.500 0.500
0.000 0.000 0.500
0.000 0.500 0.000
0.500 0.000 0.000

---

CrAsWSe2 | Alexandria via LeMat-Bulk | PBE-GGA | optimized geometry; crystal system = tetragonal; formation energy from raw total energies = 1027 meV/atom; N(E_F) = 3.23 states/eV/cell; space group = No. 123
1.0
4.740 0.000 0.000
0.000 4.740 0.000
0.000 0.000 4.668
Cr As W Se
1 1 1 2
Direct
0.000 0.000 0.000
0.000 0.000 0.500
0.500 0.500 0.500
0.000 0.500 0.000
0.500 0.000 0.000

---

CrAs2WSe | Alexandria via LeMat-Bulk | PBE-GGA | optimized geometry; crystal system = tetragonal; formation energy from raw total energies = 1074 meV/atom; N(E_F) = 3.28 states/eV/cell; space group = No. 123
1.0
4.603 0.000 0.000
0.000 4.603 0.000
0.000 0.000 4.819
Cr As W Se
1 2 1 1
Direct
0.000 0.000 0.000
0.000 0.500 0.000
0.500 0.000 0.000
0.500 0.500 0.500
0.000 0.000 0.500